--- i ---
{
  "formula": "Li3TeBr",
  "functional": "PBE",
  "state": "optimized geometry",
  "lattice_angstrom": [[4.833, 0.000, 0.000], [0.000, 4.833, 0.000], [0.000, 0.000, 4.833]],
  "species": ["Li", "Li", "Li", "Te", "Br"],
  "frac_coords": [[0.000, 0.000, 0.500], [0.000, 0.500, 0.000], [0.500, 0.000, 0.000], [0.500, 0.500, 0.500], [0.000, 0.000, 0.000]]
}

=====

--- ii ---
{
  "formula": "Li3TeBr",
  "functional": "PBE",
  "state": "optimized geometry",
  "lattice_angstrom": [[5.214, 0.000, 0.000], [0.000, 5.214, 0.000], [0.000, 0.000, 5.214]],
  "species": ["Li", "Li", "Li", "Te", "Br"],
  "frac_coords": [[0.000, 0.000, 0.500], [0.000, 0.500, 0.000], [0.500, 0.000, 0.000], [0.000, 0.000, 0.000], [0.500, 0.500, 0.500]]
}

=====

Short version: ii is the least stable of them.

=====

--- i ---
{
  "formula": "LiThBr4",
  "functional": "PBE",
  "state": "optimized geometry",
  "lattice_angstrom": [[-4.800, 4.800, 1.838], [4.800, -4.800, 1.838], [4.800, 4.800, -1.838]],
  "species": ["Li", "Th", "Br", "Br", "Br", "Br"],
  "frac_coords": [[0.000, 0.000, 0.000], [0.750, 0.250, 0.500], [0.007, 0.698, 0.193], [0.185, 0.993, 0.691], [0.302, 0.495, 0.309], [0.505, 0.815, 0.807]]
}

=====

--- ii ---
{
  "formula": "LiThBr4",
  "functional": "PBE",
  "state": "optimized geometry",
  "lattice_angstrom": [[7.352, 0.000, 0.000], [0.000, 3.801, 0.000], [-2.468, 0.000, 7.399]],
  "species": ["Li", "Th", "Br", "Br", "Br", "Br"],
  "frac_coords": [[0.000, 0.000, 0.000], [0.500, 0.500, 0.000], [0.231, 0.000, 0.751], [0.234, 0.500, 0.203], [0.766, 0.500, 0.797], [0.769, 0.000, 0.249]]
}

=====

Short version: i is the least stable of them.

=====

--- i ---
{
  "formula": "LiThBr6",
  "functional": "PBE",
  "state": "optimized geometry",
  "lattice_angstrom": [[0.000, 5.563, 5.563], [5.563, 0.000, 5.563], [5.563, 5.563, 0.000]],
  "species": ["Li", "Th", "Br", "Br", "Br", "Br", "Br", "Br"],
  "frac_coords": [[0.000, 0.000, 0.000], [0.500, 0.500, 0.500], [0.245, 0.245, 0.755], [0.245, 0.755, 0.245], [0.245, 0.755, 0.755], [0.755, 0.245, 0.245], [0.755, 0.245, 0.755], [0.755, 0.755, 0.245]]
}

=====

--- ii ---
{
  "formula": "LiThBr6",
  "functional": "PBE",
  "state": "optimized geometry",
  "lattice_angstrom": [[3.468, -6.678, 0.000], [3.468, 6.678, 0.000], [-2.213, 0.000, 6.609]],
  "species": ["Li", "Th", "Br", "Br", "Br", "Br", "Br", "Br"],
  "frac_coords": [[0.000, 0.000, 0.000], [0.500, 0.500, 0.500], [0.097, 0.386, 0.243], [0.249, 0.249, 0.753], [0.386, 0.097, 0.243], [0.614, 0.903, 0.757], [0.751, 0.751, 0.247], [0.903, 0.614, 0.757]]
}

=====

Short version: i is the least stable of them.

=====

--- i ---
{
  "formula": "Li2TiBr4",
  "functional": "PBE",
  "state": "optimized geometry",
  "lattice_angstrom": [[-2.651, 2.651, 6.845], [2.651, -2.651, 6.845], [2.651, 2.651, -6.845]],
  "species": ["Li", "Li", "Ti", "Br", "Br", "Br", "Br"],
  "frac_coords": [[0.131, 0.131, 0.000], [0.869, 0.869, 0.000], [0.500, 0.500, 0.000], [0.000, 0.500, 0.500], [0.308, 0.308, 0.000], [0.500, 0.000, 0.500], [0.692, 0.692, 0.000]]
}

=====

--- ii ---
{
  "formula": "Li2TiBr4",
  "functional": "PBE",
  "state": "optimized geometry",
  "lattice_angstrom": [[-2.998, 2.998, 5.957], [2.998, -2.998, 5.957], [2.998, 2.998, -5.957]],
  "species": ["Li", "Li", "Ti", "Br", "Br", "Br", "Br"],
  "frac_coords": [[0.250, 0.750, 0.500], [0.750, 0.250, 0.500], [0.000, 0.000, 0.000], [0.116, 0.627, 0.000], [0.373, 0.373, 0.489], [0.627, 0.116, 0.000], [0.884, 0.884, 0.511]]
}

=====

Short version: i is the least stable of them.

=====

--- i ---
{
  "formula": "LiTi2Br",
  "functional": "PBE",
  "state": "optimized geometry",
  "lattice_angstrom": [[0.000, 3.221, 3.221], [3.221, 0.000, 3.221], [3.221, 3.221, 0.000]],
  "species": ["Li", "Ti", "Ti", "Br"],
  "frac_coords": [[0.000, 0.000, 0.000], [0.250, 0.250, 0.250], [0.750, 0.750, 0.750], [0.500, 0.500, 0.500]]
}

=====

--- ii ---
{
  "formula": "LiTi2Br",
  "functional": "PBE",
  "state": "optimized geometry",
  "lattice_angstrom": [[-3.729, 3.729, 2.649], [3.729, -3.729, 2.649], [3.729, 3.729, -2.649]],
  "species": ["Li", "Li", "Ti", "Ti", "Ti", "Ti", "Br", "Br"],
  "frac_coords": [[0.000, 0.000, 0.000], [0.750, 0.250, 0.500], [0.162, 0.125, 0.537], [0.375, 0.838, 0.963], [0.588, 0.625, 0.463], [0.875, 0.412, 0.037], [0.250, 0.750, 0.500], [0.500, 0.500, 0.000]]
}

=====

Short version: i is the least stable of them.

=====

--- i ---
{
  "formula": "Li2TiBr",
  "functional": "PBE",
  "state": "optimized geometry",
  "lattice_angstrom": [[-3.870, 3.870, 2.601], [3.870, -3.870, 2.601], [3.870, 3.870, -2.601]],
  "species": ["Li", "Li", "Li", "Li", "Ti", "Ti", "Br", "Br"],
  "frac_coords": [[0.069, 0.125, 0.444], [0.375, 0.931, 0.056], [0.681, 0.625, 0.556], [0.875, 0.319, 0.944], [0.250, 0.750, 0.500], [0.500, 0.500, 0.000], [0.000, 0.000, 0.000], [0.750, 0.250, 0.500]]
}

=====

--- ii ---
{
  "formula": "Li2TiBr",
  "functional": "PBE",
  "state": "optimized geometry",
  "lattice_angstrom": [[0.000, 3.538, 3.538], [3.538, 0.000, 3.538], [3.538, 3.538, 0.000]],
  "species": ["Li", "Li", "Ti", "Br"],
  "frac_coords": [[0.250, 0.250, 0.250], [0.750, 0.750, 0.750], [0.000, 0.000, 0.000], [0.500, 0.500, 0.500]]
}

=====

Short version: ii is the least stable of them.

=====

--- i ---
{
  "formula": "LiTl2Br",
  "functional": "PBE",
  "state": "optimized geometry",
  "lattice_angstrom": [[5.518, 0.000, 0.000], [0.000, 5.518, 0.000], [0.000, 0.000, 3.743]],
  "species": ["Li", "Tl", "Tl", "Br"],
  "frac_coords": [[0.000, 0.000, 0.000], [0.000, 0.500, 0.500], [0.500, 0.000, 0.500], [0.500, 0.500, 0.000]]
}

=====

--- ii ---
{
  "formula": "LiTl2Br",
  "functional": "PBE",
  "state": "optimized geometry",
  "lattice_angstrom": [[0.000, 3.877, 3.877], [3.877, 0.000, 3.877], [3.877, 3.877, 0.000]],
  "species": ["Li", "Tl", "Tl", "Br"],
  "frac_coords": [[0.000, 0.000, 0.000], [0.250, 0.250, 0.250], [0.500, 0.500, 0.500], [0.750, 0.750, 0.750]]
}

=====

Short version: ii is the least stable of them.

=====

--- i ---
{
  "formula": "LiTl2Br",
  "functional": "PBE",
  "state": "optimized geometry",
  "lattice_angstrom": [[-2.326, 2.326, 5.319], [2.326, -2.326, 5.319], [2.326, 2.326, -5.319]],
  "species": ["Li", "Tl", "Tl", "Br"],
  "frac_coords": [[0.000, 0.000, 0.000], [0.250, 0.750, 0.500], [0.500, 0.500, 0.000], [0.750, 0.250, 0.500]]
}

=====

--- ii ---
{
  "formula": "LiTl2Br",
  "functional": "PBE",
  "state": "optimized geometry",
  "lattice_angstrom": [[6.141, -1.784, 0.000], [6.141, 1.784, 0.000], [-2.640, 0.000, 5.107]],
  "species": ["Li", "Tl", "Tl", "Br"],
  "frac_coords": [[0.000, 0.000, 0.000], [0.231, 0.231, 0.753], [0.448, 0.448, 0.451], [0.660, 0.660, 0.182]]
}

=====

--- iii ---
{
  "formula": "LiTl2Br",
  "functional": "PBE",
  "state": "optimized geometry",
  "lattice_angstrom": [[4.360, 0.000, 0.000], [0.000, 4.360, 0.000], [0.000, 0.000, 6.427]],
  "species": ["Li", "Tl", "Tl", "Br"],
  "frac_coords": [[0.000, 0.000, 0.000], [0.000, 0.500, 0.500], [0.500, 0.000, 0.500], [0.500, 0.500, 0.000]]
}

=====

Short version: i is the least stable of them.

=====

--- i ---
{
  "formula": "LiTl2Br",
  "functional": "PBE",
  "state": "optimized geometry",
  "lattice_angstrom": [[3.572, 0.000, 0.000], [0.000, 3.572, 0.000], [-1.702, 0.000, 9.345]],
  "species": ["Li", "Tl", "Tl", "Br"],
  "frac_coords": [[0.000, 0.000, 0.000], [0.309, 0.500, 0.675], [0.683, 0.000, 0.420], [0.524, 0.500, 0.050]]
}

=====

--- ii ---
{
  "formula": "LiTl2Br",
  "functional": "PBE",
  "state": "optimized geometry",
  "lattice_angstrom": [[1.919, 1.108, 8.595], [-1.919, 1.108, 8.595], [0.000, -2.216, 8.595]],
  "species": ["Li", "Tl", "Tl", "Br"],
  "frac_coords": [[0.000, 0.000, 0.000], [0.257, 0.257, 0.257], [0.743, 0.743, 0.743], [0.500, 0.500, 0.500]]
}

=====

Short version: ii is the least stable of them.

=====

--- i ---
{
  "formula": "LiTl2Br",
  "functional": "PBE",
  "state": "optimized geometry",
  "lattice_angstrom": [[-4.345, 4.345, 3.097], [4.345, -4.345, 3.097], [4.345, 4.345, -3.097]],
  "species": ["Li", "Li", "Tl", "Tl", "Tl", "Tl", "Br", "Br"],
  "frac_coords": [[0.000, 0.000, 0.000], [0.750, 0.250, 0.500], [0.095, 0.625, 0.970], [0.375, 0.345, 0.470], [0.655, 0.125, 0.030], [0.875, 0.905, 0.530], [0.250, 0.750, 0.500], [0.500, 0.500, 0.000]]
}

=====

--- ii ---
{
  "formula": "LiTl2Br",
  "functional": "PBE",
  "state": "optimized geometry",
  "lattice_angstrom": [[0.000, 3.936, 3.936], [3.936, 0.000, 3.936], [3.936, 3.936, 0.000]],
  "species": ["Li", "Tl", "Tl", "Br"],
  "frac_coords": [[0.000, 0.000, 0.000], [0.250, 0.250, 0.250], [0.750, 0.750, 0.750], [0.500, 0.500, 0.500]]
}

=====

Short version: ii is the least stable of them.

=====

--- i ---
{
  "formula": "LiTl2Br",
  "functional": "PBE",
  "state": "optimized geometry",
  "lattice_angstrom": [[3.113, -6.100, 0.000], [3.113, 6.100, 0.000], [-2.679, 0.000, 3.117]],
  "species": ["Li", "Tl", "Tl", "Br"],
  "frac_coords": [[0.000, 0.000, 0.000], [0.000, 0.500, 0.500], [0.500, 0.000, 0.500], [0.500, 0.500, 0.000]]
}

=====

--- ii ---
{
  "formula": "LiTl2Br",
  "functional": "PBE",
  "state": "optimized geometry",
  "lattice_angstrom": [[3.569, 0.000, 0.000], [0.000, 3.569, 0.000], [0.000, 0.000, 9.300]],
  "species": ["Li", "Tl", "Tl", "Br"],
  "frac_coords": [[0.000, 0.000, 0.000], [0.000, 0.000, 0.577], [0.500, 0.500, 0.322], [0.500, 0.500, 0.947]]
}

=====

Short version: i is the least stable of them.

=====

--- i ---
{
  "formula": "LiTlBr2",
  "functional": "PBE",
  "state": "optimized geometry",
  "lattice_angstrom": [[6.835, 0.000, 0.000], [0.000, 4.392, 0.000], [0.000, 0.000, 17.554]],
  "species": ["Li", "Li", "Li", "Li", "Tl", "Tl", "Tl", "Tl", "Br", "Br", "Br", "Br", "Br", "Br", "Br", "Br"],
  "frac_coords": [[0.203, 0.250, 0.174], [0.297, 0.750, 0.674], [0.703, 0.250, 0.326], [0.797, 0.750, 0.826], [0.248, 0.250, 0.933], [0.252, 0.750, 0.433], [0.748, 0.250, 0.567], [0.752, 0.750, 0.067], [0.167, 0.750, 0.809], [0.226, 0.250, 0.596], [0.274, 0.750, 0.096], [0.333, 0.250, 0.309], [0.667, 0.750, 0.691], [0.726, 0.250, 0.904], [0.774, 0.750, 0.404], [0.833, 0.250, 0.191]]
}

=====

--- ii ---
{
  "formula": "LiTlBr2",
  "functional": "PBE",
  "state": "optimized geometry",
  "lattice_angstrom": [[4.066, 0.000, 0.000], [-0.014, 4.067, 0.000], [-2.026, -2.030, 7.094]],
  "species": ["Li", "Tl", "Br", "Br"],
  "frac_coords": [[0.000, 0.000, 0.000], [0.251, 0.747, 0.500], [0.610, 0.109, 0.221], [0.890, 0.390, 0.779]]
}

=====

Short version: ii is the least stable of them.